Computed, not measured: an optimized crystal structure of Ba2PO at the GGA-PBEsol level of DFT.

abc: 5.1987 5.1987 5.1987
angles: 60.00 60.00 60.00
Positions (direct):
Ba1 0.2500 0.2500 0.2500
Ba2 0.7500 0.7500 0.7500
P1 0.0000 0.0000 0.0000
O1 0.5000 0.5000 0.5000

Summary:
Formation energy from raw total energies, meV/atom: -1086
N(E_F), states/eV per cell: 4.29
Total magnetic moment, μB per formula unit: 1.030
E, eV per cell: -19.68